1.
Below is an optimized crystal structure of Cs2CoCl4, with properties calculated at the GGA-PBE level.

Lattice parameters (Å, degrees): 5.104 5.104 16.866 90.00 90.00 90.00
Space group I4/mmm (No. 139)
Asymmetric unit:
Cs (0.000, 0.000, 0.142) [4 per cell]
Co (0.000, 0.000, 0.500) [2 per cell]
Cl (0.000, 0.000, 0.357) [4 per cell]
Cl (0.000, 0.500, 0.000) [4 per cell]

* mass density: 3.527 g cm⁻³

=====

2.
Below is an optimized crystal structure of Cs3CoCl6, with properties calculated at the GGA-PBE level.

Lattice parameters (Å, degrees): 13.523 7.810 7.809 90.00 125.24 90.00
Space group C2/m (No. 12)
Asymmetric unit:
Cs (0.000, 0.000, 0.000) [2 per cell]
Cs (0.250, 0.000, 0.750) [4 per cell]
Co (0.000, 0.500, 0.500) [2 per cell]
Cl (0.001, 0.294, 0.295) [8 per cell]
Cl (0.206, 0.500, 0.708) [4 per cell]

* mass density: 3.305 g cm⁻³

=====

3.
Below is an optimized crystal structure of Cs2CoCl6, with properties calculated at the GGA-PBE level.

Lattice parameters (Å, degrees): 7.2986 7.2986 12.1346 90.00 90.00 120.00
Space group P6_3mc (No. 186)
Asymmetric unit:
Cs (0.0000, 0.0000, 0.0000) [2 per cell]
Cs (0.3333, 0.6667, 0.2503) [2 per cell]
Co (0.3333, 0.6667, 0.6258) [2 per cell]
Cl (0.0429, 0.5215, 0.5175) [6 per cell]
Cl (0.1866, 0.3732, 0.7320) [6 per cell]

* mass density: 3.189 g cm⁻³

=====

4.
Below is an optimized crystal structure of CsCo2Cl8, with properties calculated at the GGA-PBE level.

Lattice parameters (Å, degrees): 13.211 7.203 8.948 90.00 111.61 90.00
Space group C2/m (No. 12)
Asymmetric unit:
Cs (0.000, 0.000, 0.000) [2 per cell]
Co (0.211, 0.000, 0.698) [4 per cell]
Cl (0.113, 0.500, 0.195) [4 per cell]
Cl (0.150, 0.242, 0.778) [8 per cell]
Cl (0.160, 0.000, 0.441) [4 per cell]

* mass density: 2.242 g cm⁻³

=====

5.
Below is an optimized crystal structure of CsCo4Cl8, with properties calculated at the GGA-PBE level.

Lattice parameters (Å, degrees): 6.5625 6.5625 9.9368 90.00 90.00 120.00
Space group P-31m (No. 162)
Asymmetric unit:
Cs (0.0000, 0.0000, 0.0000) [1 per cell]
Co (0.3333, 0.6667, 0.2316) [4 per cell]
Cl (0.0000, 0.3506, 0.6934) [6 per cell]
Cl (0.3333, 0.6667, 0.0000) [2 per cell]

* mass density: 2.923 g cm⁻³

=====

6.
Below is an optimized crystal structure of CsCoCl5, with properties calculated at the GGA-PBE level.

Lattice parameters (Å, degrees): 7.478 10.317 6.707 90.00 90.00 90.00
Space group Imm2 (No. 44)
Asymmetric unit:
Cs (0.000, 0.000, 0.000) [2 per cell]
Co (0.000, 0.500, 0.013) [2 per cell]
Cl (0.000, 0.322, 0.199) [4 per cell]
Cl (0.000, 0.500, 0.686) [2 per cell]
Cl (0.206, 0.000, 0.505) [4 per cell]

* mass density: 2.369 g cm⁻³

=====

For the records above, the corresponding ΔE_f (raw) values read -1342; -1409; -1164; -759; -726; -843 meV per atom.
For the records above, the corresponding final energy values read -3.66; -3.48; -3.37; -3.47; -4.11; -3.30 eV per atom.